# Li2ErMg3

A geometry-optimized Li2ErMg3 structure (PBE, the Alexandria database).

```
data_Li2ErMg3
_cell_length_a 3.467
_cell_length_b 3.467
_cell_length_c 11.262
_cell_angle_alpha 90.00
_cell_angle_beta 90.00
_cell_angle_gamma 90.00
_space_group_name_H-M_alt 'P 1'
_space_group_IT_number 1
loop_
_space_group_symop_operation_xyz
'x,y,z'
loop_
_atom_site_label
_atom_site_fract_x
_atom_site_fract_y
_atom_site_fract_z
Li1 0.500 0.500 0.847
Li2 0.500 0.500 0.153
Er1 0.500 0.500 0.500
Mg1 0.000 0.000 0.000
Mg2 0.000 0.000 0.700
Mg3 0.000 0.000 0.300
```

Results
Spin magnetization = 0.005 μB per cell
Formation energy = -0.049 eV per atom
V = 22.56 Å³ per atom


# Li4ErMg8

A geometry-optimized Li4ErMg8 structure (PBE, the Alexandria database).

```
data_Li4ErMg8
_cell_length_a 5.383
_cell_length_b 7.752
_cell_length_c 7.752
_cell_angle_alpha 83.08
_cell_angle_beta 69.68
_cell_angle_gamma 69.68
_space_group_name_H-M_alt 'P 1'
_space_group_IT_number 1
loop_
_space_group_symop_operation_xyz
'x,y,z'
loop_
_atom_site_label
_atom_site_fract_x
_atom_site_fract_y
_atom_site_fract_z
Li1 0.000 0.000 0.500
Li2 0.500 0.000 0.500
Li3 0.000 0.500 0.000
Li4 0.500 0.500 0.000
Er1 0.000 0.000 0.000
Mg1 0.000 0.351 0.649
Mg2 0.000 0.649 0.351
Mg3 0.351 0.649 0.649
Mg4 0.649 0.351 0.351
Mg5 0.500 0.789 0.211
Mg6 0.500 0.211 0.789
Mg7 0.289 0.211 0.211
Mg8 0.711 0.789 0.789
```

Results
Spin magnetization = 0.000 μB per cell
Formation energy = -0.033 eV per atom
V = 21.89 Å³ per atom


Which formula does entry 1 have?
Li2ErMg3


Which formula does entry 1 have?
Li2ErMg3


V of number 1 (Li2ErMg3)?
22.56 Å³ per atom